Record 1
VASP calculation (PBE) on an optimized crystal structure of TaReTe2N.

Geometry as POSCAR:
```
TaReTe2N
1.0
-1.4306 2.1918 4.3501
-4.4563 1.0094 -1.9741
-1.7515 -4.4620 1.6722
Re N Te Ta
1 1 2 1
Cartesian
0.0000 0.0000 0.0000 Re
-3.8192 -0.6304 2.0240 N
-0.7153 1.0959 2.1750 Te
-0.8757 -2.2310 0.8361 Te
-2.2281 0.5047 -0.9871 Ta
```

## Properties
Density of states at the Fermi level, states/eV per atom: 1.52
Distance to the lowest polymorph of the same formula, meV/atom: 1371

---

Record 2
VASP calculation (PBE) on an optimized crystal structure of CeTm2Pb.

Geometry as POSCAR:
```
CeTm2Pb
1.0
-3.4477 0.3225 -0.5668
1.2168 -0.3301 3.2741
1.2227 10.9359 -1.2319
Pb Ce Tm
1 1 2
Cartesian
-0.2153 5.9220 2.0162 Pb
0.9007 0.2940 2.9159 Ce
0.3396 8.6738 0.2084 Tm
-1.9830 3.5013 0.5499 Tm
```

## Properties
Density of states at the Fermi level, states/eV per atom: 1.58
Formation energy from the elements, eV/atom: -0.13
Distance to the lowest polymorph of the same formula, meV/atom: 107

---

Record 3
VASP calculation (PBE) on an optimized crystal structure of BaReRh.

Geometry as POSCAR:
```
BaReRh
1.0
-1.4813 1.9380 5.9920
1.4813 -1.9380 5.9920
1.4813 1.9380 -5.9920
Ba Re Rh
1 1 1
Cartesian
0.0000 0.0000 11.9805 Ba
0.0000 0.0000 8.5544 Re
0.0000 0.0000 3.4332 Rh
```

## Properties
Density of states at the Fermi level, states/eV per atom: 0.94
Formation energy from the elements, eV/atom: 0.54
Distance to the lowest polymorph of the same formula, meV/atom: 414

---

Record 4
VASP calculation (PBE) on an optimized crystal structure of MnSi2Br.

Geometry as POSCAR:
```
MnSi2Br
1.0
-1.9307 1.8805 1.0135
-0.7540 -1.8821 2.0445
6.0406 3.3428 5.3051
Si Mn Br
2 1 1
Cartesian
5.4126 2.9953 4.7535 Si
3.6483 2.0190 3.2041 Si
3.1881 2.5063 5.5078 Mn
0.1678 0.8349 2.8552 Br
```

## Properties
Density of states at the Fermi level, states/eV per atom: 1.00
Distance to the lowest polymorph of the same formula, meV/atom: 241

---

Record 5
VASP calculation (PBE) on an optimized crystal structure of Pr3Cu4Ag2.

Geometry as POSCAR:
```
Pr3Cu4Ag2
1.0
-0.0862 4.4366 -0.7467
-5.0141 -2.6365 -1.5277
-0.1453 1.4178 8.4402
Cu Pr Ag
4 3 2
Cartesian
-2.3666 2.0963 -0.8303 Cu
-2.8789 1.1216 6.9960 Cu
-4.5858 2.7009 3.0182 Cu
-0.6597 0.5170 3.1475 Cu
-3.4903 0.1765 1.4512 Pr
0.0000 0.0000 0.0000 Pr
-1.7552 3.0414 4.7145 Pr
-1.3189 2.5184 1.5566 Ag
-3.9267 0.6995 4.6090 Ag
```

## Properties
Density of states at the Fermi level, states/eV per atom: 0.62
Formation energy from the elements, eV/atom: -0.20